# NdTmCl2 GGA-PBE optimized geometry
# raw formation energy = -1.330 eV per atom
# density = 5.901 g/cm³
data_NdTmCl2
_symmetry_space_group_name_H-M 'R -3 m'
_symmetry_Int_Tables_number 166
_symmetry_space_group_name_Hall '-R 3 2"'
_cell_length_a 3.6284
_cell_length_b 3.6284
_cell_length_c 28.4392
_cell_angle_alpha 90.00
_cell_angle_beta 90.00
_cell_angle_gamma 120.00
loop_
_atom_site_label
_atom_site_fract_x
_atom_site_fract_y
_atom_site_fract_z
Nd1 0.0000 0.0000 0.0000
Tm1 0.0000 0.0000 0.5000
Cl1 0.0000 0.0000 0.4066

***

# Nd3TmCl GGA-PBE optimized geometry
# raw formation energy = -0.482 eV per atom
# density = 6.529 g/cm³
data_Nd3TmCl
_symmetry_space_group_name_H-M 'P m -3 m'
_symmetry_Int_Tables_number 221
_symmetry_space_group_name_Hall '-P 4 2 3'
_cell_length_a 5.452
_cell_length_b 5.452
_cell_length_c 5.452
_cell_angle_alpha 90.00
_cell_angle_beta 90.00
_cell_angle_gamma 90.00
loop_
_atom_site_label
_atom_site_fract_x
_atom_site_fract_y
_atom_site_fract_z
Nd1 0.000 0.000 0.500
Tm1 0.500 0.500 0.500
Cl1 0.000 0.000 0.000

***

# NdTmCl3 GGA-PBE optimized geometry
# raw formation energy = -1.822 eV per atom
# density = 4.692 g/cm³
data_NdTmCl3
_symmetry_space_group_name_H-M 'C 1 2/m 1'
_symmetry_Int_Tables_number 12
_cell_length_a 16.736
_cell_length_b 3.826
_cell_length_c 10.895
_cell_angle_alpha 90.00
_cell_angle_beta 121.66
_cell_angle_gamma 90.00
loop_
_symmetry_equiv_pos_as_xyz
'x,y,z'
'-x,-y,-z'
'-x,y,-z'
'x,-y,z'
'x+1/2,y+1/2,z'
'-x+1/2,-y+1/2,-z'
'-x+1/2,y+1/2,-z'
'x+1/2,-y+1/2,z'
loop_
_atom_site_label
_atom_site_fract_x
_atom_site_fract_y
_atom_site_fract_z
Nd1 0.140 0.000 0.291
Tm1 0.078 0.500 0.955
Cl1 0.043 0.000 0.757
Cl2 0.161 0.500 0.509
Cl3 0.213 0.000 0.110

***

# NdTmCl GGA-PBE optimized geometry
# raw formation energy = -0.897 eV per atom
# density = 5.861 g/cm³
data_NdTmCl
_symmetry_space_group_name_H-M 'P 1'
_symmetry_Int_Tables_number 1
_cell_length_a 3.724
_cell_length_b 3.724
_cell_length_c 16.549
_cell_angle_alpha 94.59
_cell_angle_beta 91.43
_cell_angle_gamma 120.00
loop_
_symmetry_equiv_pos_as_xyz
'x,y,z'
loop_
_atom_site_label
_atom_site_fract_x
_atom_site_fract_y
_atom_site_fract_z
Nd1 0.000 0.000 0.000
Nd2 0.132 0.380 0.477
Tm1 0.264 0.568 0.820
Tm2 0.533 0.143 0.654
Cl1 0.378 0.730 0.115
Cl2 0.421 0.984 0.363

***

# NdVCl2 GGA-PBE optimized geometry
# raw formation energy = -0.505 eV per atom
# density = 5.275 g/cm³
data_NdVCl2
_symmetry_space_group_name_H-M 'R -3 m'
_symmetry_Int_Tables_number 166
_symmetry_space_group_name_Hall '-R 3 2"'
_cell_length_a 3.2710
_cell_length_b 3.2710
_cell_length_c 27.1193
_cell_angle_alpha 90.00
_cell_angle_beta 90.00
_cell_angle_gamma 120.00
loop_
_atom_site_label
_atom_site_fract_x
_atom_site_fract_y
_atom_site_fract_z
Nd1 0.0000 0.0000 0.0000
V1 0.0000 0.0000 0.5000
Cl1 0.0000 0.0000 0.1086

***

# NdYCl GGA-PBE optimized geometry
# raw formation energy = -0.916 eV per atom
# density = 5.143 g/cm³
data_NdYCl
_symmetry_space_group_name_H-M 'P 3 m 1'
_symmetry_Int_Tables_number 156
_cell_length_a 3.7311
_cell_length_b 3.7311
_cell_length_c 7.1935
_cell_angle_alpha 90.00
_cell_angle_beta 90.00
_cell_angle_gamma 120.00
loop_
_symmetry_equiv_pos_as_xyz
'x,y,z'
'-y,x-y,z'
'-x+y,-x,z'
'-y,-x,z'
'-x+y,y,z'
'x,x-y,z'
loop_
_atom_site_label
_atom_site_fract_x
_atom_site_fract_y
_atom_site_fract_z
Nd1 0.0000 0.0000 0.0000
Y1 0.3333 0.6667 0.6154
Cl1 0.6667 0.3333 0.3272

***

# Nd3YCl GGA-PBE optimized geometry
# raw formation energy = -0.503 eV per atom
# density = 5.648 g/cm³
data_Nd3YCl
_symmetry_space_group_name_H-M 'P m -3 m'
_symmetry_Int_Tables_number 221
_symmetry_space_group_name_Hall '-P 4 2 3'
_cell_length_a 5.471
_cell_length_b 5.471
_cell_length_c 5.471
_cell_angle_alpha 90.00
_cell_angle_beta 90.00
_cell_angle_gamma 90.00
loop_
_atom_site_label
_atom_site_fract_x
_atom_site_fract_y
_atom_site_fract_z
Nd1 0.000 0.000 0.500
Y1 0.500 0.500 0.500
Cl1 0.000 0.000 0.000

***

# Nd2YCl8 GGA-PBE optimized geometry
# raw formation energy = -2.021 eV per atom
# density = 3.856 g/cm³
data_Nd2YCl8
_symmetry_space_group_name_H-M 'C 1 2/m 1'
_symmetry_Int_Tables_number 12
_cell_length_a 8.319
_cell_length_b 12.349
_cell_length_c 5.762
_cell_angle_alpha 90.00
_cell_angle_beta 105.92
_cell_angle_gamma 90.00
loop_
_symmetry_equiv_pos_as_xyz
'x,y,z'
'-x,-y,-z'
'-x,y,-z'
'x,-y,z'
'x+1/2,y+1/2,z'
'-x+1/2,-y+1/2,-z'
'-x+1/2,y+1/2,-z'
'x+1/2,-y+1/2,z'
loop_
_atom_site_label
_atom_site_fract_x
_atom_site_fract_y
_atom_site_fract_z
Nd1 0.000 0.188 0.000
Y1 0.000 0.500 0.500
Cl1 0.000 0.281 0.500
Cl2 0.148 0.000 0.310
Cl3 0.205 0.369 0.113

***

- Look up the density of the first one.
  5.901 g/cm³